Here is a relaxed Er2InBi crystal from Alexandria via LeMat-Bulk. Energies are from PBE.

Its total DFT energy (no corrections) is -17.7 eV for the cell shown. The calculation puts the calculated volume at 27.46 Å³/atom. Its calculated density is 10.0 g/cm3. For the relative energy among the computed polymorphs, the calculation gives 0 meV/atom. As for the formation energy: -486.2 meV/atom.

It has space group P4/mmm (No. 123), with a = 3.9903 Å, b = 3.9903 Å, c = 6.8980 Å, α = 90.00°, β = 90.00° and γ = 90.00°. The inequivalent atoms are Er at (0.0000, 0.0000, 0.2491), In at (0.5000, 0.5000, 0.5000) and Bi at (0.5000, 0.5000, 0.0000).